DFT (GGA-PBE) results for LiPmHo2Tl4 after structural relaxation.

Structure (extended XYZ):
```
8
Lattice="2.6272 1.5168 8.8953 -2.6272 1.5168 8.8953 0.0000 -3.0337 8.8953" Properties=species:S:1:pos:R:3 pbc="T T T"
Li 0.0000 0.0000 0.0000
Pm 0.0000 0.0000 13.3430
Ho 0.0000 0.0000 6.7961
Ho 0.0000 0.0000 19.8900
Tl 0.0000 0.0000 3.2394
Tl 0.0000 0.0000 9.9280
Tl 0.0000 0.0000 16.7581
Tl 0.0000 0.0000 23.4467
```

Output
ΔH_f (0 K) in eV per atom: -0.3260



DFT (GGA-PBE) results for ErNiCl after structural relaxation.

Structure (extended XYZ):
```
6
Lattice="3.3928 -1.9581 0.0000 3.3928 1.9581 0.0000 -2.2750 0.0000 10.4760" Properties=species:S:1:pos:R:3 pbc="T T T"
Er 0.0001 0.0000 1.8257
Er 4.5105 0.0000 8.6502
Ni 2.2619 0.0000 0.1468
Ni 2.2487 0.0000 10.3292
Cl -0.0131 0.0000 6.9589
Cl 4.5236 0.0000 3.5170
```

Output
Formation energy from raw total energies in eV/f.u.: -3.76



DFT (GGA-PBE) results for Tb2ZrN3 after structural relaxation.

Structure (extended XYZ):
```
6
Lattice="-1.7090 1.7090 7.2193 1.7090 -1.7090 7.2193 1.7090 1.7090 -7.2193" Properties=species:S:1:pos:R:3 pbc="T T T"
Tb 0.0000 0.0000 2.3715
Tb 0.0000 0.0000 12.0672
Zr 0.0000 0.0000 7.2193
N 0.0000 0.0000 0.0000
N 0.0000 0.0000 4.9280
N 0.0000 0.0000 9.5107
```

Output
Formation energy from raw total energies in eV/f.u.: -10.00



DFT (GGA-PBE) results for LaDyTmZn after structural relaxation.

Structure (extended XYZ):
```
4
Lattice="3.5789 0.0000 0.0000 0.0000 3.5789 0.0000 0.0000 0.0000 8.8202" Properties=species:S:1:pos:R:3 pbc="T T T"
La 0.0000 0.0000 0.0000
Dy 1.7894 1.7894 6.1232
Tm 1.7894 1.7894 2.6558
Zn 0.0000 0.0000 4.3446
```

Output
Polymorph energy (0 for the lowest one) in kJ/mol of formula units: 0
ΔH_f (0 K) in eV per atom: -0.1567



DFT (GGA-PBE) results for Na2Ca6Ni after structural relaxation.

Structure (extended XYZ):
```
9
Lattice="6.8065 0.0000 0.0000 -3.4033 5.8946 0.0000 0.0000 0.0000 9.2925" Properties=species:S:1:pos:R:3 pbc="T T T"
Na 0.0000 3.9298 0.0000
Na 3.4033 1.9649 0.0000
Ca -1.1181 1.9366 6.2154
Ca -2.2852 3.9580 3.0770
Ca 2.2362 0.0000 6.2154
Ca 1.1181 1.9366 3.0770
Ca 4.5703 0.0000 3.0770
Ca 2.2852 3.9580 6.2154
Ni 0.0000 0.0000 4.6462
```

Output
ΔH_f (0 K) in eV per atom: 0.0519



DFT (GGA-PBE) results for Nd2C2O after structural relaxation.

Structure (extended XYZ):
```
10
Lattice="6.7231 -2.1490 0.0000 6.7231 2.1490 0.0000 -2.2312 0.0000 6.2473" Properties=species:S:1:pos:R:3 pbc="T T T"
Nd 2.9341 1.4579 5.6829
Nd 7.1654 1.4579 3.6880
Nd 4.0497 -1.4579 2.5593
Nd 8.2810 -1.4579 0.5644
C 2.6300 0.5485 2.9922
C 1.5144 -0.5485 6.1159
C 9.7007 0.5485 0.1314
C 8.5851 -0.5485 3.2551
O 6.1653 2.0782 1.5618
O 5.0498 -2.0782 4.6855
```

Output
Formation energy from raw total energies in eV/f.u.: -5.81



DFT (GGA-PBE) results for ScReOs2 after structural relaxation.

Structure (extended XYZ):
```
4
Lattice="3.0272 0.0000 0.0000 0.0000 4.4610 0.0000 0.0000 0.0000 4.5873" Properties=species:S:1:pos:R:3 pbc="T T T"
Sc 0.0000 0.0000 0.0000
Re 1.5136 0.0000 2.2936
Os 0.0000 2.2305 2.2936
Os 1.5136 2.2305 0.0000
```

Output
ΔH_f (0 K) in eV per atom: 0.1116



DFT (GGA-PBE) results for PmH2Pt after structural relaxation.

Structure (extended XYZ):
```
8
Lattice="3.8090 0.0000 0.0000 0.0000 4.3946 0.0000 -1.8884 0.0000 6.2026" Properties=species:S:1:pos:R:3 pbc="T T T"
Pm 0.0070 1.0987 1.8291
Pm 1.9136 3.2960 4.3735
H 0.0070 3.2960 0.7658
H 0.0110 3.2960 3.0580
H 1.9097 1.0987 3.1446
H 1.9137 1.0987 5.4368
Pt 0.0088 1.0987 5.3586
Pt 1.9119 3.2960 0.8440
```

Output
Polymorph energy (0 for the lowest one) in kJ/mol of formula units: 4